# 1
Material: Pr3Ge2Ru2
Method: DFT, PBE-GGA
State: relaxed

a = 5.790 Å, b = 8.010 Å, c = 13.802 Å
α = 90.00°, β = 90.00°, γ = 90.00°
Fractional positions:
Pr1 0.128 0.239 0.250
Pr2 0.128 0.261 0.750
Pr3 0.351 0.598 0.099
Pr4 0.351 0.598 0.401
Pr5 0.351 0.902 0.599
Pr6 0.351 0.902 0.901
Pr7 0.649 0.098 0.099
Pr8 0.649 0.098 0.401
Pr9 0.649 0.402 0.599
Pr10 0.649 0.402 0.901
Pr11 0.872 0.739 0.250
Pr12 0.872 0.761 0.750
Ge1 0.113 0.250 0.000
Ge2 0.113 0.250 0.500
Ge3 0.362 0.610 0.750
Ge4 0.362 0.890 0.250
Ge5 0.638 0.110 0.750
Ge6 0.638 0.390 0.250
Ge7 0.887 0.750 0.000
Ge8 0.887 0.750 0.500
Ru1 0.146 0.530 0.590
Ru2 0.146 0.530 0.910
Ru3 0.146 0.970 0.090
Ru4 0.146 0.970 0.410
Ru5 0.854 0.030 0.590
Ru6 0.854 0.030 0.910
Ru7 0.854 0.470 0.090
Ru8 0.854 0.470 0.410

**Density of states at the Fermi level**: 14.13 states/eV/cell
**Raw total energy**: -6.61 eV/atom
**Formation energy**: -4.2 eV per formula unit
**Total magnetization**: 0.00 μB/cell

***

# 2
Material: PrGeRu
Method: DFT, PBE-GGA
State: relaxed

a = 4.322 Å, b = 4.322 Å, c = 6.994 Å
α = 90.00°, β = 90.00°, γ = 90.00°
Fractional positions:
Pr1 0.250 0.250 0.186
Pr2 0.750 0.750 0.814
Ge1 0.250 0.250 0.688
Ge2 0.750 0.750 0.312
Ru1 0.250 0.750 0.500
Ru2 0.750 0.250 0.500

**Density of states at the Fermi level**: 4.73 states/eV/cell
**Raw total energy**: -6.88 eV/atom
**Formation energy**: -2.0 eV per formula unit
**Total magnetization**: 0.00 μB/cell

***

# 3
Material: Pr2GeRu
Method: DFT, PBE-GGA
State: relaxed

a = 3.982 Å, b = 6.055 Å, c = 6.055 Å
α = 42.90°, β = 90.00°, γ = 90.00°
Fractional positions:
Pr1 0.000 0.000 0.000
Pr2 0.500 0.279 0.279
Ge1 0.500 0.582 0.582
Ru1 0.000 0.726 0.726

**Density of states at the Fermi level**: 2.54 states/eV/cell
**Raw total energy**: -6.37 eV/atom
**Formation energy**: -2.0 eV per formula unit
**Total magnetization**: 0.00 μB/cell

***

# 4
Material: PrGe3Ru5
Method: DFT, PBE-GGA
State: relaxed

a = 6.859 Å, b = 6.859 Å, c = 11.664 Å
α = 90.00°, β = 90.00°, γ = 145.07°
Fractional positions:
Pr1 0.185 0.815 0.750
Pr2 0.815 0.185 0.250
Ge1 0.117 0.883 0.250
Ge2 0.376 0.624 0.053
Ge3 0.376 0.624 0.447
Ge4 0.624 0.376 0.553
Ge5 0.624 0.376 0.947
Ge6 0.883 0.117 0.750
Ru1 0.000 0.000 0.000
Ru2 0.000 0.000 0.500
Ru3 0.192 0.808 0.060
Ru4 0.192 0.808 0.440
Ru5 0.453 0.547 0.644
Ru6 0.453 0.547 0.856
Ru7 0.547 0.453 0.144
Ru8 0.547 0.453 0.356
Ru9 0.808 0.192 0.560
Ru10 0.808 0.192 0.940

**Density of states at the Fermi level**: 18.89 states/eV/cell
**Raw total energy**: -7.46 eV/atom
**Formation energy**: -2.2 eV per formula unit
**Total magnetization**: 0.00 μB/cell

***

# 5
Material: Pr2Ge4Ru3
Method: DFT, PBE-GGA
State: relaxed

a = 8.006 Å, b = 6.900 Å, c = 5.704 Å
α = 78.24°, β = 57.53°, γ = 44.23°
Fractional positions:
Pr1 0.133 0.133 0.867
Pr2 0.867 0.867 0.133
Ge1 0.175 0.521 0.479
Ge2 0.479 0.825 0.175
Ge3 0.521 0.175 0.825
Ge4 0.825 0.479 0.521
Ru1 0.000 0.000 0.500
Ru2 0.500 0.500 0.000
Ru3 0.500 0.500 0.500

**Density of states at the Fermi level**: 9.08 states/eV/cell
**Raw total energy**: -6.67 eV/atom
**Formation energy**: -4.1 eV per formula unit
**Total magnetization**: 0.00 μB/cell

***

# 6
Material: PrGe2Ru
Method: DFT, PBE-GGA
State: relaxed

a = 4.666 Å, b = 4.666 Å, c = 4.666 Å
α = 63.42°, β = 63.42°, γ = 63.42°
Fractional positions:
Pr1 0.000 0.000 0.000
Ge1 0.261 0.261 0.261
Ge2 0.739 0.739 0.739
Ru1 0.500 0.500 0.500

**Density of states at the Fermi level**: 3.05 states/eV/cell
**Raw total energy**: -6.06 eV/atom
**Formation energy**: -0.9 eV per formula unit
**Total magnetization**: 0.00 μB/cell

***

# 7
Material: Pr3Ge2Ru
Method: DFT, PBE-GGA
State: relaxed

a = 12.234 Å, b = 4.304 Å, c = 11.779 Å
α = 90.00°, β = 90.00°, γ = 90.00°
Fractional positions:
Pr1 0.056 0.250 0.128
Pr2 0.120 0.750 0.554
Pr3 0.221 0.250 0.797
Pr4 0.279 0.750 0.297
Pr5 0.380 0.250 0.054
Pr6 0.444 0.750 0.628
Pr7 0.556 0.250 0.372
Pr8 0.620 0.750 0.946
Pr9 0.721 0.250 0.703
Pr10 0.779 0.750 0.203
Pr11 0.880 0.250 0.446
Pr12 0.944 0.750 0.872
Ge1 0.018 0.750 0.312
Ge2 0.193 0.750 0.994
Ge3 0.307 0.250 0.494
Ge4 0.482 0.250 0.812
Ge5 0.518 0.750 0.188
Ge6 0.693 0.750 0.506
Ge7 0.807 0.250 0.006
Ge8 0.982 0.250 0.688
Ru1 0.131 0.250 0.367
Ru2 0.369 0.750 0.867
Ru3 0.631 0.250 0.133
Ru4 0.869 0.750 0.633

**Density of states at the Fermi level**: 18.68 states/eV/cell
**Raw total energy**: -6.13 eV/atom
**Formation energy**: -3.9 eV per formula unit
**Total magnetization**: 0.00 μB/cell

***

# 8
Material: PrGeRu
Method: DFT, PBE-GGA
State: relaxed

a = 4.272 Å, b = 4.272 Å, c = 4.193 Å
α = 90.00°, β = 90.00°, γ = 120.00°
Fractional positions:
Pr1 0.000 0.000 0.000
Ge1 0.333 0.667 0.500
Ru1 0.667 0.333 0.499

**Density of states at the Fermi level**: 2.48 states/eV/cell
**Raw total energy**: -6.70 eV/atom
**Formation energy**: -1.4 eV per formula unit
**Total magnetization**: 0.00 μB/cell

***

# 9
Material: Pr3Ge13Ru4
Method: DFT, PBE-GGA
State: relaxed

a = 9.169 Å, b = 9.169 Å, c = 9.169 Å
α = 90.00°, β = 90.00°, γ = 90.00°
Fractional positions:
Pr1 0.000 0.250 0.500
Pr2 0.000 0.750 0.500
Pr3 0.250 0.500 0.000
Pr4 0.500 0.000 0.250
Pr5 0.500 0.000 0.750
Pr6 0.750 0.500 0.000
Ge1 0.000 0.000 0.000
Ge2 0.000 0.294 0.147
Ge3 0.000 0.294 0.853
Ge4 0.000 0.706 0.147
Ge5 0.000 0.706 0.853
Ge6 0.147 0.000 0.294
Ge7 0.147 0.000 0.706
Ge8 0.206 0.500 0.353
Ge9 0.206 0.500 0.647
Ge10 0.294 0.147 0.000
Ge11 0.294 0.853 0.000
Ge12 0.353 0.206 0.500
Ge13 0.353 0.794 0.500
Ge14 0.500 0.353 0.206
Ge15 0.500 0.353 0.794
Ge16 0.500 0.500 0.500
Ge17 0.500 0.647 0.206
Ge18 0.500 0.647 0.794
Ge19 0.647 0.206 0.500
Ge20 0.647 0.794 0.500
Ge21 0.706 0.147 0.000
Ge22 0.706 0.853 0.000
Ge23 0.794 0.500 0.353
Ge24 0.794 0.500 0.647
Ge25 0.853 0.000 0.294
Ge26 0.853 0.000 0.706
Ru1 0.250 0.250 0.250
Ru2 0.250 0.250 0.750
Ru3 0.250 0.750 0.250
Ru4 0.250 0.750 0.750
Ru5 0.750 0.250 0.250
Ru6 0.750 0.250 0.750
Ru7 0.750 0.750 0.250
Ru8 0.750 0.750 0.750

**Density of states at the Fermi level**: 20.75 states/eV/cell
**Raw total energy**: -6.01 eV/atom
**Formation energy**: -8.7 eV per formula unit
**Total magnetization**: 0.00 μB/cell

***

# 10
Material: PrGe2Ru
Method: DFT, PBE-GGA
State: relaxed

a = 7.195 Å, b = 4.335 Å, c = 10.422 Å
α = 90.00°, β = 90.00°, γ = 90.00°
Fractional positions:
Pr1 0.167 0.250 0.127
Pr2 0.333 0.750 0.627
Pr3 0.667 0.250 0.373
Pr4 0.833 0.750 0.873
Ge1 0.135 0.250 0.818
Ge2 0.185 0.250 0.423
Ge3 0.315 0.750 0.923
Ge4 0.365 0.750 0.318
Ge5 0.635 0.250 0.682
Ge6 0.685 0.250 0.077
Ge7 0.815 0.750 0.577
Ge8 0.865 0.750 0.182
Ru1 0.018 0.750 0.390
Ru2 0.482 0.250 0.890
Ru3 0.518 0.750 0.110
Ru4 0.982 0.250 0.610

**Density of states at the Fermi level**: 7.29 states/eV/cell
**Raw total energy**: -6.47 eV/atom
**Formation energy**: -2.6 eV per formula unit
**Total magnetization**: 0.00 μB/cell

***

# 11
Material: Pr3Ge4Ru2
Method: DFT, PBE-GGA
State: relaxed

a = 6.025 Å, b = 6.025 Å, c = 8.433 Å
α = 107.53°, β = 107.53°, γ = 42.84°
Fractional positions:
Pr1 0.000 0.000 0.000
Pr2 0.382 0.382 0.302
Pr3 0.618 0.618 0.698
Ge1 0.104 0.104 0.402
Ge2 0.288 0.288 0.918
Ge3 0.712 0.712 0.082
Ge4 0.896 0.896 0.598
Ru1 0.312 0.312 0.638
Ru2 0.688 0.688 0.362

**Density of states at the Fermi level**: 5.25 states/eV/cell
**Raw total energy**: -6.42 eV/atom
**Formation energy**: -6.4 eV per formula unit
**Total magnetization**: 0.00 μB/cell

***

# 12
Material: Pr8Ge2Ru
Method: DFT, PBE-GGA
State: relaxed

a = 9.781 Å, b = 9.781 Å, c = 7.505 Å
α = 98.63°, β = 98.63°, γ = 27.82°
Fractional positions:
Pr1 0.010 0.010 0.279
Pr2 0.217 0.217 0.845
Pr3 0.349 0.349 0.489
Pr4 0.403 0.403 0.995
Pr5 0.597 0.597 0.005
Pr6 0.651 0.651 0.511
Pr7 0.783 0.783 0.155
Pr8 0.990 0.990 0.721
Ge1 0.181 0.181 0.254
Ge2 0.819 0.819 0.746
Ru1 0.500 0.500 0.500

**Density of states at the Fermi level**: 11.98 states/eV/cell
**Raw total energy**: -5.49 eV/atom
**Formation energy**: -3.6 eV per formula unit
**Total magnetization**: 0.00 μB/cell

***

> The highest density of states at the Fermi level belongs to which entry?

Pr3Ge13Ru4

***

> What is the raw total energy in the second record?

-6.88 eV/atom

***

> What is the formula in the third record?

Pr2GeRu